DFT (PBE) results for crystalline NaTmSc2Se4 at its relaxed geometry.

Geometry as POSCAR:
```
NaTmSc2Se4
1.0
3.9309 0.0000 0.0000
0.0000 6.9328 -0.1961
0.0000 2.3908 6.4350
Se Sc Na Tm
4 2 1 1
direct
0.0000 0.7598 0.7480
0.5000 0.7648 0.2410
0.5000 0.2352 0.7590
0.0000 0.2402 0.2520
0.5000 0.0000 0.5000
0.0000 0.0000 0.0000
0.0000 0.5000 0.5000
0.5000 0.5000 0.0000
```

Computed properties:
Formation energy without anion corrections   -1621 meV per atom
Electronic total energy   -5.670 eV/atom